Version A
An optimized crystal structure of ScMn3Ge. Source: Alexandria, functional GGA-PBE.

Calculated values
crystal system: cubic

Structure (POSCAR):
```
ScMn3Ge
1.0
-3.206 2.265 2.275
-3.210 -2.297 -2.237
0.035 -3.190 3.226
Mn Ge Sc
3 1 1
Direct
0.500 0.000 0.000 Mn
0.000 0.000 0.500 Mn
0.000 0.500 0.000 Mn
0.000 0.000 0.000 Ge
0.500 0.500 0.500 Sc
```



Version B
An optimized crystal structure of ScMn3Ge. Source: Alexandria, functional GGA-PBE.

Calculated values
crystal system: cubic

Structure (POSCAR):
```
ScMn3Ge
1.0
4.653 0.000 0.000
0.000 4.653 0.000
0.000 0.000 4.653
Mn Sc Ge
3 1 1
Direct
0.000 0.000 0.500 Mn
0.500 0.000 0.000 Mn
0.000 0.500 0.000 Mn
0.000 0.000 0.000 Sc
0.500 0.500 0.500 Ge
```



Stability check: which of them is most stable? version A.



Version A
An optimized crystal structure of MnGeSe4. Source: Alexandria, functional GGA-PBE.

Calculated values
crystal system: monoclinic

Structure (POSCAR):
```
MnGeSe4
1.0
-0.388 -0.898 -3.360
3.179 -5.386 1.073
-6.966 -1.126 1.105
Ge Mn Se
1 1 4
Direct
0.000 0.500 0.500 Ge
0.500 0.000 0.500 Mn
0.500 0.231 0.281 Se
0.000 0.240 0.712 Se
0.000 0.760 0.288 Se
0.500 0.769 0.719 Se
```



Version B
An optimized crystal structure of MnGeSe4. Source: Alexandria, functional GGA-PBE.

Calculated values
crystal system: tetragonal

Structure (POSCAR):
```
MnGeSe4
1.0
-3.261 -4.335 2.287
4.889 -3.066 1.161
0.526 3.977 8.286
Ge Se Mn
2 8 2
Direct
0.000 0.500 0.250 Ge
0.500 0.000 0.750 Ge
0.251 0.267 0.394 Se
0.733 0.749 0.894 Se
0.733 0.251 0.606 Se
0.251 0.733 0.106 Se
0.267 0.749 0.606 Se
0.749 0.267 0.106 Se
0.749 0.733 0.394 Se
0.267 0.251 0.894 Se
0.000 0.000 0.500 Mn
0.000 0.000 0.000 Mn
```



Stability check: which of them is most stable? version A.



Version A
An optimized crystal structure of MnSiGe3. Source: Alexandria, functional GGA-PBE.

Calculated values
crystal system: cubic

Structure (POSCAR):
```
MnSiGe3
1.0
-4.629 0.227 -0.748
-0.754 -0.129 4.631
0.203 4.687 0.163
Ge Si Mn
3 1 1
Direct
0.000 0.500 0.000 Ge
0.500 0.000 0.000 Ge
0.000 0.000 0.500 Ge
0.000 0.000 0.000 Si
0.500 0.500 0.500 Mn
```



Version B
An optimized crystal structure of MnSiGe3. Source: Alexandria, functional GGA-PBE.

Calculated values
crystal system: cubic

Structure (POSCAR):
```
MnSiGe3
1.0
-2.863 1.105 3.447
0.290 -4.311 1.623
3.608 1.223 2.605
Mn Ge Si
1 3 1
Direct
0.000 0.000 0.000 Mn
0.000 0.000 0.500 Ge
0.000 0.500 0.000 Ge
0.500 0.000 0.000 Ge
0.500 0.500 0.500 Si
```



Stability check: which of them is most stable? version B.